Here is an optimized crystal structure of Ag9HgAu2 from Alexandria via LeMat-Bulk. Energies are from PBE-GGA.

a b c (Å): 4.1697 4.1697 12.5971
angles (deg): 90.00 90.00 90.00
Closest atoms and distances in Å follow each position.
Sites, in units of the cell vectors:
Ag (0.5000, 0.5000, 0.0000)  4 Hg 2.95, 8 Ag 3.01
Ag (0.5000, 0.5000, 0.3354)  8 Ag 2.93-2.94, 4 Au 2.95
Ag (0.5000, 0.5000, 0.6646)  8 Ag 2.93-2.94, 4 Au 2.95
Ag (0.5000, 0.0000, 0.1720)  8 Ag 2.93-3.01, 2 Au 2.94, 2 Hg 3.01
Ag (0.5000, 0.0000, 0.5000)  4 Au 2.93, 8 Ag 2.94-2.95
Ag (0.5000, 0.0000, 0.8280)  8 Ag 2.93-3.01, 2 Au 2.94, 2 Hg 3.01
Ag (0.0000, 0.5000, 0.1720)  8 Ag 2.93-3.01, 2 Au 2.94, 2 Hg 3.01
Ag (0.0000, 0.5000, 0.5000)  4 Au 2.93, 8 Ag 2.94-2.95
Ag (0.0000, 0.5000, 0.8280)  8 Ag 2.93-3.01, 2 Au 2.94, 2 Hg 3.01
Hg (0.0000, 0.0000, 0.0000)  12 Ag 2.95-3.01
Au (0.0000, 0.0000, 0.3366)  12 Ag 2.93-2.95
Au (0.0000, 0.0000, 0.6634)  12 Ag 2.93-2.95

Computed properties:
The value obtained for the calculated density is 11.9 g/cm³. The formation energy is -0.007 eV/atom. The value obtained for the size of the total moment is 0.00 μB per formula unit. The symmetry is P4/mmm (123).

=====

Here is an optimized crystal structure of Ag2Hg2Au from Alexandria via LeMat-Bulk. Energies are from PBE-GGA.

a b c (Å): 7.2742 7.2742 4.0186
angles (deg): 90.00 90.00 90.00
Closest atoms and distances in Å follow each position.
Sites, in units of the cell vectors:
Au (0.0000, 0.0000, 0.0000)  4 Ag 2.81
Au (0.5000, 0.5000, 0.0000)  4 Ag 2.81
Hg (0.1621, 0.6621, 0.5000)  6 Ag 2.86-2.98
Hg (0.6621, 0.8379, 0.5000)  6 Ag 2.86-2.98
Hg (0.8379, 0.3379, 0.5000)  6 Ag 2.86-2.98
Hg (0.3379, 0.1621, 0.5000)  6 Ag 2.86-2.98
Ag (0.3603, 0.8603, 0.0000)  2 Au 2.81, 6 Hg 2.86-2.98, 1 Ag 2.87
Ag (0.8603, 0.6397, 0.0000)  2 Au 2.81, 6 Hg 2.86-2.98, 1 Ag 2.87
Ag (0.6397, 0.1397, 0.0000)  2 Au 2.81, 6 Hg 2.86-2.98, 1 Ag 2.87
Ag (0.1397, 0.3603, 0.0000)  2 Au 2.81, 6 Hg 2.86-2.98, 1 Ag 2.87

Computed properties:
The value obtained for the calculated density is 12.7 g/cm³. The formation energy is 0.136 eV/atom. The value obtained for the size of the total moment is 0.00 μB per formula unit. The symmetry is P4/mbm (127). The energy above the most stable polymorph in this dataset comes out at 0.38 eV per formula unit.

=====

Here is an optimized crystal structure of Ag4HgAu from Alexandria via LeMat-Bulk. Energies are from PBE-GGA.

a b c (Å): 5.0240 5.6807 10.1043
angles (deg): 106.33 101.12 90.00
Closest atoms and distances in Å follow each position.
Sites, in units of the cell vectors:
Ag (0.6752, 0.4955, 0.2377)  6 Ag 2.81-2.92, 2 Au 2.81-2.84, 1 Hg 2.83
Ag (0.6807, 0.0046, 0.2446)  6 Ag 2.81-2.92, 1 Au 2.82, 1 Hg 2.90
Ag (0.1752, 0.7421, 0.2377)  6 Ag 2.81-2.92, 2 Au 2.81-2.84, 1 Hg 2.83
Ag (0.1807, 0.2400, 0.2446)  6 Ag 2.81-2.92, 1 Au 2.82, 1 Hg 2.90
Ag (0.3193, 0.9954, 0.7554)  6 Ag 2.81-2.92, 1 Au 2.82, 1 Hg 2.90
Ag (0.3248, 0.5045, 0.7623)  6 Ag 2.81-2.92, 2 Au 2.81-2.84, 1 Hg 2.83
Ag (0.8193, 0.7600, 0.7554)  6 Ag 2.81-2.92, 1 Au 2.82, 1 Hg 2.90
Ag (0.8248, 0.2579, 0.7623)  6 Ag 2.81-2.92, 2 Au 2.81-2.84, 1 Hg 2.83
Hg (0.5000, 0.0000, 0.5000)  4 Ag 2.83-2.90
Hg (0.0000, 0.5000, 0.5000)  4 Ag 2.83-2.90
Au (0.7500, 0.6417, 0.0000)  6 Ag 2.81-2.84, 2 Au 2.98
Au (0.2500, 0.3583, 0.0000)  6 Ag 2.81-2.84, 2 Au 2.98

Computed properties:
The value obtained for the calculated density is 10.2 g/cm³. The formation energy is 0.156 eV/atom. The value obtained for the size of the total moment is 0.00 μB per formula unit. The symmetry is C2/c (15). The energy above the most stable polymorph in this dataset comes out at 0.03 eV per formula unit.

=====

Here is an optimized crystal structure of Ag3HgAu6 from Alexandria via LeMat-Bulk. Energies are from PBE-GGA.

a b c (Å): 7.5438 7.3208 7.0537
angles (deg): 90.00 90.33 90.00
Closest atoms and distances in Å follow each position.
Sites, in units of the cell vectors:
Ag (0.5956, 0.8013, 0.7526)  6 Au 2.77-2.83, 1 Ag 2.91, 1 Hg 2.92
Ag (0.5000, 0.5000, 0.0000)  6 Au 2.84-3.13, 2 Ag 2.91
Ag (0.4044, 0.1987, 0.2474)  6 Au 2.77-2.83, 1 Ag 2.91, 1 Hg 2.92
Ag (0.0956, 0.6987, 0.2526)  6 Au 2.77-2.83, 1 Ag 2.91, 1 Hg 2.92
Ag (0.0000, 0.0000, 0.5000)  6 Au 2.84-3.13, 2 Ag 2.91
Ag (0.9044, 0.3013, 0.7474)  6 Au 2.77-2.83, 1 Ag 2.91, 1 Hg 2.92
Hg (0.5000, 0.5000, 0.5000)  6 Au 2.90-3.15, 2 Ag 2.92
Hg (0.0000, 0.0000, 0.0000)  6 Au 2.90-3.15, 2 Ag 2.92
Au (0.6397, 0.1318, 0.9555)  4 Ag 2.77-2.91, 5 Au 2.86-3.01, 1 Hg 2.90
Au (0.6454, 0.1229, 0.5386)  4 Ag 2.77-2.84, 5 Au 2.86-2.98, 1 Hg 2.98
Au (0.8067, 0.3398, 0.2494)  6 Au 2.86-3.01, 1 Ag 3.13, 1 Hg 3.15
Au (0.1933, 0.6602, 0.7506)  6 Au 2.86-3.01, 1 Ag 3.13, 1 Hg 3.15
Au (0.3546, 0.8771, 0.4614)  4 Ag 2.77-2.84, 5 Au 2.86-2.98, 1 Hg 2.98
Au (0.3603, 0.8682, 0.0445)  4 Ag 2.77-2.91, 5 Au 2.86-3.01, 1 Hg 2.90
Au (0.1397, 0.3682, 0.4555)  4 Ag 2.77-2.91, 5 Au 2.86-3.01, 1 Hg 2.90
Au (0.1454, 0.3771, 0.0386)  4 Ag 2.77-2.84, 5 Au 2.86-2.98, 1 Hg 2.98
Au (0.3067, 0.1602, 0.7494)  6 Au 2.86-3.01, 1 Ag 3.13, 1 Hg 3.15
Au (0.6933, 0.8398, 0.2506)  6 Au 2.86-3.01, 1 Ag 3.13, 1 Hg 3.15
Au (0.8546, 0.6229, 0.9614)  4 Ag 2.77-2.84, 5 Au 2.86-2.98, 1 Hg 2.98
Au (0.8603, 0.6318, 0.5445)  4 Ag 2.77-2.91, 5 Au 2.86-3.01, 1 Hg 2.90

Computed properties:
The value obtained for the calculated density is 14.5 g/cm³. The formation energy is 0.060 eV/atom. The value obtained for the size of the total moment is 0.00 μB per formula unit. The symmetry is P2_1/c (14). The energy above the most stable polymorph in this dataset comes out at 0.71 eV per formula unit.

=====

Here is an optimized crystal structure of Ag2HgAu4 from Alexandria via LeMat-Bulk. Energies are from PBE-GGA.

a b c (Å): 3.9871 3.9871 10.0686
angles (deg): 101.42 101.42 90.00
Closest atoms and distances in Å follow each position.
Sites, in units of the cell vectors:
Ag (0.6285, 0.6285, 0.2570)  8 Au 2.83-3.08
Ag (0.3715, 0.3715, 0.7430)  8 Au 2.83-3.08
Hg (0.0000, 0.0000, 0.0000)  2 Au 2.70
Au (0.1398, 0.1398, 0.2795)  1 Hg 2.70, 4 Ag 2.83, 4 Au 2.92
Au (0.8602, 0.8602, 0.7205)  1 Hg 2.70, 4 Ag 2.83, 4 Au 2.92
Au (0.7500, 0.2500, 0.5000)  8 Au 2.82-2.92, 4 Ag 3.08
Au (0.2500, 0.7500, 0.5000)  8 Au 2.82-2.92, 4 Ag 3.08

Computed properties:
The value obtained for the calculated density is 13.0 g/cm³. The formation energy is 0.091 eV/atom. The value obtained for the size of the total moment is 0.00 μB per formula unit. The symmetry is I4/mmm (139). The energy above the most stable polymorph in this dataset comes out at 0.14 eV per formula unit.

=====

Here is an optimized crystal structure of AgHgAu3 from Alexandria via LeMat-Bulk. Energies are from PBE-GGA.

a b c (Å): 5.9376 8.1590 8.2658
angles (deg): 104.31 90.00 90.00
Closest atoms and distances in Å follow each position.
Sites, in units of the cell vectors:
Ag (0.7500, 0.9909, 0.4975)  9 Au 2.90-2.99, 2 Ag 2.97, 1 Hg 3.05
Ag (0.2500, 0.0091, 0.5025)  9 Au 2.90-2.99, 2 Ag 2.97, 1 Hg 3.05
Ag (0.2500, 0.0091, 0.0025)  9 Au 2.90-2.99, 2 Ag 2.97, 1 Hg 3.05
Ag (0.7500, 0.9909, 0.9975)  9 Au 2.90-2.99, 2 Ag 2.97, 1 Hg 3.05
Hg (0.2499, 0.3952, 0.0995)  8 Au 2.84-3.04, 1 Ag 3.05
Hg (0.7501, 0.6048, 0.9005)  8 Au 2.84-3.04, 1 Ag 3.05
Hg (0.7499, 0.6048, 0.4005)  8 Au 2.84-3.04, 1 Ag 3.05
Hg (0.2501, 0.3952, 0.5995)  8 Au 2.84-3.04, 1 Ag 3.05
Au (0.0012, 0.1879, 0.2968)  5 Au 2.88-2.98, 4 Ag 2.90-2.99, 2 Hg 3.01-3.04
Au (0.9988, 0.8121, 0.7032)  5 Au 2.88-2.98, 4 Ag 2.90-2.99, 2 Hg 3.01-3.04
Au (0.5012, 0.8121, 0.2032)  5 Au 2.88-2.98, 4 Ag 2.90-2.99, 2 Hg 3.01-3.04
Au (0.4988, 0.1879, 0.7968)  5 Au 2.88-2.98, 4 Ag 2.90-2.99, 2 Hg 3.01-3.04
Au (0.4988, 0.1879, 0.2969)  5 Au 2.88-2.98, 4 Ag 2.90-2.99, 2 Hg 3.01-3.03
Au (0.5012, 0.8121, 0.7031)  5 Au 2.88-2.98, 4 Ag 2.90-2.99, 2 Hg 3.01-3.03
Au (0.9988, 0.8121, 0.2031)  5 Au 2.88-2.98, 4 Ag 2.90-2.99, 2 Hg 3.01-3.03
Au (0.0012, 0.1879, 0.7969)  5 Au 2.88-2.98, 4 Ag 2.90-2.99, 2 Hg 3.01-3.03
Au (0.7502, 0.3575, 0.5888)  4 Hg 2.84-2.98, 4 Au 2.88, 1 Ag 2.90
Au (0.2498, 0.6425, 0.4112)  4 Hg 2.84-2.98, 4 Au 2.88, 1 Ag 2.90
Au (0.2502, 0.6425, 0.9112)  4 Hg 2.84-2.98, 4 Au 2.88, 1 Ag 2.90
Au (0.7498, 0.3575, 0.0888)  4 Hg 2.84-2.98, 4 Au 2.88, 1 Ag 2.90

Computed properties:
The value obtained for the calculated density is 15.4 g/cm³. The formation energy is 0.028 eV/atom. The value obtained for the size of the total moment is 0.00 μB per formula unit. The symmetry is P2_1/m (11). The energy above the most stable polymorph in this dataset comes out at 0.00 eV per formula unit.